Entry 1:
Computed, not measured: a relaxed KTe2MoN crystal at the PBE level of DFT.

Cell lengths 5.201, 6.903, 5.201 Å; angles 90.00, 90.00, 90.00 degrees
Each line ends with the local moment (μB).
Positions (direct):
1 Mo 0.000 0.000 0.000  0.77
2 Te 0.000 0.000 0.500  -0.01
3 Te 0.500 0.000 0.000  -0.05
4 K 0.000 0.500 0.000  0.01
5 N 0.500 0.500 0.500  1.66

Properties
space group: P4/mmm, No. 123
energy above the lowest structure with this stoichiometry: 6.118 eV/f.u.
crystal system: tetragonal
ΔE_f (raw): 111.5 kJ/mol of atoms
E: -4.151 eV/atom

Entry 2:
Computed, not measured: a relaxed K2ThMo2N6 crystal at the PBE level of DFT.

Cell lengths 6.335, 6.311, 7.410 Å; angles 117.19, 90.00, 120.13 degrees
Each line ends with the local moment (μB).
Positions (direct):
1 K 0.703 0.406 0.167  0.00
2 K 0.297 0.594 0.833  0.00
3 Th 0.500 0.000 0.500  0.04
4 Mo 0.955 0.910 0.783  -0.07
5 Mo 0.045 0.090 0.217  -0.07
6 N 0.757 0.514 0.624  0.34
7 N 0.204 0.925 0.241  0.20
8 N 0.279 0.075 0.759  0.20
9 N 0.796 0.075 0.759  0.20
10 N 0.721 0.925 0.241  0.20
11 N 0.243 0.486 0.376  0.34

Properties
space group: C2/m, No. 12
crystal system: monoclinic
ΔE_f (raw): -30.3 kJ/mol of atoms
E: -7.698 eV/atom

Entry 3:
Computed, not measured: a relaxed KThMoN4 crystal at the PBE level of DFT.

Cell lengths 6.357, 6.029, 7.917 Å; angles 90.00, 99.44, 90.00 degrees
Each line ends with the local moment (μB).
Positions (direct):
1 K 0.661 0.750 0.897  0.00
2 K 0.339 0.250 0.103  0.00
3 Th 0.801 0.750 0.438  0.02
4 Th 0.199 0.250 0.562  0.02
5 Mo 0.285 0.750 0.348  -0.10
6 Mo 0.715 0.250 0.652  -0.10
7 N 0.909 0.486 0.658  0.15
8 N 0.091 0.986 0.342  0.15
9 N 0.091 0.514 0.342  0.15
10 N 0.909 0.014 0.658  0.15
11 N 0.500 0.750 0.210  0.20
12 N 0.500 0.250 0.790  0.20
13 N 0.456 0.750 0.560  0.29
14 N 0.544 0.250 0.440  0.29

Properties
space group: P2_1/m, No. 11
crystal system: monoclinic
ΔE_f (raw): -56.1 kJ/mol of atoms
E: -8.103 eV/atom

Entry 4:
Computed, not measured: a relaxed KTmMoN3 crystal at the PBE level of DFT.

Cell lengths 3.869, 6.967, 7.838 Å; angles 103.23, 90.00, 106.12 degrees
Positions (direct):
1 K 0.351 0.701 0.929
2 K 0.649 0.299 0.071
3 Tm 0.662 0.323 0.578
4 Tm 0.338 0.677 0.422
5 Mo 0.006 0.012 0.321
6 Mo 0.994 0.988 0.679
7 N 0.863 0.727 0.219
8 N 0.836 0.672 0.630
9 N 0.512 0.025 0.347
10 N 0.164 0.328 0.370
11 N 0.488 0.975 0.653
12 N 0.137 0.273 0.781

Properties
space group: C2/m, No. 12
crystal system: monoclinic
ΔE_f (raw): -55.2 kJ/mol of atoms
E: -7.469 eV/atom

| no. | spin magnetization (μB per formula unit) |
| --- | --- |
| 1 | 3.48 |
| 2 | 2.08 |
| 3 | 1.05 |
| 4 | 0.00 |